No. 1
DFT (GGA-PBE) results for a geometry-optimized ZrTiSe3 structure.

Calculated values
* distance to the lowest polymorph of the same formula: 0.108 eV per atom
* uncorrected formation energy: -1.093 eV per atom
* N(E_F): 6.85 states/eV per cell

Geometry as CIF:
```
data_ZrTiSe3
_symmetry_space_group_name_H-M 'C m c m'
_symmetry_Int_Tables_number 63
_symmetry_space_group_name_Hall '-C 2c 2'
_cell_length_a 3.6069
_cell_length_b 12.9481
_cell_length_c 11.4446
_cell_angle_alpha 90.00
_cell_angle_beta 90.00
_cell_angle_gamma 90.00
loop_
_atom_site_label
_atom_site_fract_x
_atom_site_fract_y
_atom_site_fract_z
Zr1 0.0000 0.2188 0.2500
Ti1 0.0000 0.4896 0.7500
Se1 0.0000 0.1192 0.7500
Se2 0.0000 0.3615 0.5939
```

No. 2
DFT (GGA-PBE) results for a geometry-optimized GdCdGa2 structure.

Calculated values
* N(E_F): 1.70 states/eV per cell
* energy relative to the elements: -0.425 eV per atom

Geometry as CIF:
```
data_GdCdGa2
_symmetry_space_group_name_H-M 'P 4/m m m'
_symmetry_Int_Tables_number 123
_symmetry_space_group_name_Hall '-P 4 2'
_cell_length_a 4.4871
_cell_length_b 4.4871
_cell_length_c 4.2473
_cell_angle_alpha 90.00
_cell_angle_beta 90.00
_cell_angle_gamma 90.00
loop_
_atom_site_label
_atom_site_fract_x
_atom_site_fract_y
_atom_site_fract_z
Gd1 0.0000 0.0000 0.0000
Cd1 0.5000 0.5000 0.0000
Ga1 0.0000 0.5000 0.5000
```

No. 3
DFT (GGA-PBE) results for a geometry-optimized Nb2TeS2 structure.

Calculated values
* uncorrected formation energy: -0.739 eV per atom
* N(E_F): 7.62 states/eV per cell

Geometry as CIF:
```
data_Nb2TeS2
_symmetry_space_group_name_H-M 'C 1 2/c 1'
_symmetry_Int_Tables_number 15
_symmetry_space_group_name_Hall '-C 2yc'
_cell_length_a 6.5934
_cell_length_b 10.9904
_cell_length_c 6.2291
_cell_angle_alpha 90.00
_cell_angle_beta 112.88
_cell_angle_gamma 90.00
loop_
_atom_site_label
_atom_site_fract_x
_atom_site_fract_y
_atom_site_fract_z
Nb1 0.1773 0.0823 0.4783
Te1 0.0000 0.4132 0.7500
S1 0.0000 0.1017 0.7500
S2 0.0000 0.2666 0.2500
```

No. 4
DFT (GGA-PBE) results for a geometry-optimized CaTeS2N structure.

Calculated values
* distance to the lowest polymorph of the same formula: 0.000 eV per atom
* uncorrected formation energy: -0.036 eV per atom
* N(E_F): 1.49 states/eV per cell

Geometry as CIF:
```
data_CaTeS2N
_symmetry_space_group_name_H-M 'P 4/m m m'
_symmetry_Int_Tables_number 123
_symmetry_space_group_name_Hall '-P 4 2'
_cell_length_a 5.1577
_cell_length_b 5.1577
_cell_length_c 3.9875
_cell_angle_alpha 90.00
_cell_angle_beta 90.00
_cell_angle_gamma 90.00
loop_
_atom_site_label
_atom_site_fract_x
_atom_site_fract_y
_atom_site_fract_z
Ca1 0.0000 0.0000 0.0000
Te1 0.5000 0.5000 0.5000
S1 0.0000 0.5000 0.5000
N1 0.5000 0.5000 0.0000
```

No. 5
DFT (GGA-PBE) results for a geometry-optimized CaCePr2S4 structure.

Calculated values
* uncorrected formation energy: -2.036 eV per atom
* N(E_F): 28.83 states/eV per cell

Geometry as CIF:
```
data_CaCePr2S4
_symmetry_space_group_name_H-M 'I m m a'
_symmetry_Int_Tables_number 74
_symmetry_space_group_name_Hall '-I 2b 2'
_cell_length_a 8.1073
_cell_length_b 8.1636
_cell_length_c 11.5046
_cell_angle_alpha 90.00
_cell_angle_beta 90.00
_cell_angle_gamma 90.00
loop_
_atom_site_label
_atom_site_fract_x
_atom_site_fract_y
_atom_site_fract_z
Ca1 0.2500 0.2500 0.2500
Ce1 0.0000 0.0000 0.0000
Pr1 0.0000 0.0000 0.5000
Pr2 0.2500 0.2500 0.7500
S1 0.0000 0.0074 0.2474
S2 0.2453 0.2500 0.0041
```